{"formula": "TlAsPdO2", "functional": "meta-GGA SCAN", "state": "PBEsol geometry", "cell": [[3.721, 0.000, 0.000], [0.000, 3.721, 0.000], [0.000, 0.000, 6.460]], "species": ["Tl", "As", "Pd", "O", "O"], "fractional_positions": [[0.000, 0.000, 0.000], [0.000, 0.000, 0.500], [0.500, 0.500, 0.000], [0.000, 0.500, 0.500], [0.500, 0.000, 0.500]], "magnetic_moment_mub_per_fu": 0.0, "e_tot_ev_per_atom": -27.67}

---

{"formula": "YAg4Pb", "functional": "meta-GGA SCAN", "state": "PBEsol geometry", "cell": [[0.000, 3.924, 3.924], [3.924, 0.000, 3.924], [3.924, 3.924, 0.000]], "species": ["Y", "Ag", "Ag", "Ag", "Ag", "Pb"], "fractional_positions": [[0.000, 0.000, 0.000], [0.124, 0.625, 0.625], [0.625, 0.124, 0.625], [0.625, 0.625, 0.124], [0.625, 0.625, 0.625], [0.250, 0.250, 0.250]], "ef_ev_per_atom": -0.207, "magnetic_moment_mub_per_fu": 0.0, "e_tot_ev_per_atom": -38.39}

---

{"formula": "ZnCoPt", "functional": "meta-GGA SCAN", "state": "PBEsol geometry", "cell": [[0.000, 2.869, 2.869], [2.869, 0.000, 2.869], [2.869, 2.869, 0.000]], "species": ["Zn", "Co", "Pt"], "fractional_positions": [[0.000, 0.000, 0.000], [0.500, 0.500, 0.500], [0.250, 0.250, 0.250]], "ef_ev_per_atom": -0.094, "magnetic_moment_mub_per_fu": 2.3, "e_tot_ev_per_atom": -33.77}

---

{"formula": "ZrTaTc2", "functional": "meta-GGA SCAN", "state": "PBEsol geometry", "cell": [[3.189, 0.000, 0.000], [0.000, 3.189, 0.000], [0.000, 0.000, 6.423]], "species": ["Zr", "Ta", "Tc", "Tc"], "fractional_positions": [[0.000, 0.000, 0.000], [0.000, 0.000, 0.500], [0.500, 0.500, 0.260], [0.500, 0.500, 0.740]], "ef_ev_per_atom": -0.539, "magnetic_moment_mub_per_fu": 0.0, "e_tot_ev_per_atom": -42.39}

---

{"formula": "BiTe", "functional": "meta-GGA SCAN", "state": "PBEsol geometry", "cell": [[4.416, 0.000, 0.000], [-2.208, 3.824, 0.000], [0.000, 0.000, 23.921]], "species": ["Bi", "Bi", "Bi", "Bi", "Bi", "Bi", "Te", "Te", "Te", "Te", "Te", "Te"], "fractional_positions": [[0.000, 0.000, 0.125], [0.000, 0.000, 0.875], [0.333, 0.667, 0.292], [0.333, 0.667, 0.535], [0.667, 0.333, 0.465], [0.667, 0.333, 0.708], [0.000, 0.000, 0.364], [0.000, 0.000, 0.636], [0.333, 0.667, 0.054], [0.333, 0.667, 0.791], [0.667, 0.333, 0.209], [0.667, 0.333, 0.946]], "magnetic_moment_mub_per_fu": 0.0, "e_above_lowest_polymorph_ev_per_atom": 0.000, "e_tot_ev_per_atom": -58.05}

---

{"formula": "TlMo4As", "functional": "meta-GGA SCAN", "state": "PBEsol geometry", "cell": [[0.000, 3.730, 3.730], [3.730, 0.000, 3.730], [3.730, 3.730, 0.000]], "species": ["Tl", "Mo", "Mo", "Mo", "Mo", "As"], "fractional_positions": [[0.000, 0.000, 0.000], [0.124, 0.625, 0.625], [0.625, 0.124, 0.625], [0.625, 0.625, 0.124], [0.625, 0.625, 0.625], [0.250, 0.250, 0.250]], "ef_ev_per_atom": 0.661, "magnetic_moment_mub_per_fu": 0.0, "e_tot_ev_per_atom": -38.02}

---

{"formula": "Co2ReRu", "functional": "meta-GGA SCAN", "state": "PBEsol geometry", "cell": [[-1.820, 1.820, 3.606], [1.820, -1.820, 3.606], [1.820, 1.820, -3.606]], "species": ["Co", "Co", "Re", "Ru"], "fractional_positions": [[0.250, 0.750, 0.500], [0.750, 0.250, 0.500], [0.000, 0.000, 0.000], [0.500, 0.500, 0.000]], "ef_ev_per_atom": 0.193, "magnetic_moment_mub_per_fu": 2.2, "e_above_lowest_polymorph_ev_per_atom": 0.000, "e_tot_ev_per_atom": -34.94}

---

{"formula": "CaIr2Cl", "functional": "meta-GGA SCAN", "state": "PBEsol geometry", "cell": [[3.602, 0.000, 0.000], [0.000, 3.602, 0.000], [0.000, 0.000, 5.883]], "species": ["Ca", "Ir", "Ir", "Cl"], "fractional_positions": [[0.000, 0.000, 0.000], [0.000, 0.500, 0.500], [0.500, 0.000, 0.500], [0.500, 0.500, 0.000]], "magnetic_moment_mub_per_fu": 0.0, "e_above_lowest_polymorph_ev_per_atom": 0.201, "e_tot_ev_per_atom": -40.23}

---

{"formula": "TaZn3As", "functional": "meta-GGA SCAN", "state": "PBEsol geometry", "cell": [[4.890, 0.000, 0.000], [0.000, 4.890, 0.000], [0.000, 0.000, 4.890]], "species": ["Ta", "Zn", "Zn", "Zn", "As"], "fractional_positions": [[0.000, 0.000, 0.000], [0.000, 0.000, 0.500], [0.000, 0.500, 0.000], [0.500, 0.000, 0.000], [0.500, 0.500, 0.500]], "ef_ev_per_atom": 1.324, "magnetic_moment_mub_per_fu": 0.0, "e_tot_ev_per_atom": -24.14}

---

{"formula": "Pr3Er", "functional": "meta-GGA SCAN", "state": "PBEsol geometry", "cell": [[7.216, 0.000, 0.000], [-3.608, 6.250, 0.000], [0.000, 0.000, 5.814]], "species": ["Pr", "Pr", "Pr", "Pr", "Pr", "Pr", "Er", "Er"], "fractional_positions": [[0.168, 0.335, 0.250], [0.168, 0.832, 0.250], [0.335, 0.168, 0.750], [0.665, 0.832, 0.250], [0.832, 0.168, 0.750], [0.832, 0.665, 0.750], [0.333, 0.667, 0.750], [0.667, 0.333, 0.250]], "ef_ev_per_atom": 0.030, "magnetic_moment_mub_per_fu": 0.0, "e_above_lowest_polymorph_ev_per_atom": 0.018, "e_tot_ev_per_atom": -45.05}

---

{"formula": "TiZnPt", "functional": "meta-GGA SCAN", "state": "PBEsol geometry", "cell": [[4.390, 0.000, 0.000], [-2.195, 3.801, 0.000], [0.000, 0.000, 5.370]], "species": ["Ti", "Ti", "Zn", "Zn", "Pt", "Pt"], "fractional_positions": [[0.333, 0.667, 0.291], [0.667, 0.333, 0.709], [0.000, 0.000, 0.000], [0.000, 0.000, 0.500], [0.333, 0.667, 0.768], [0.667, 0.333, 0.232]], "ef_ev_per_atom": -0.877, "magnetic_moment_mub_per_fu": 0.0, "e_tot_ev_per_atom": -34.12}

---

{"formula": "TiZnP2O", "functional": "meta-GGA SCAN", "state": "PBEsol geometry", "cell": [[4.825, 0.000, 0.000], [0.000, 4.825, 0.000], [0.000, 0.000, 3.648]], "species": ["Ti", "Zn", "P", "P", "O"], "fractional_positions": [[0.000, 0.000, 0.000], [0.500, 0.500, 0.500], [0.000, 0.500, 0.000], [0.500, 0.000, 0.000], [0.000, 0.000, 0.500]], "magnetic_moment_mub_per_fu": 0.0, "e_tot_ev_per_atom": -11.74}

---

{"formula": "La2YSc", "functional": "meta-GGA SCAN", "state": "PBEsol geometry", "cell": [[-2.462, 2.462, 5.007], [2.462, -2.462, 5.007], [2.462, 2.462, -5.007]], "species": ["La", "La", "Y", "Sc"], "fractional_positions": [[0.000, 0.000, 0.000], [0.750, 0.250, 0.500], [0.250, 0.750, 0.500], [0.500, 0.500, 0.000]], "ef_ev_per_atom": 0.080, "magnetic_moment_mub_per_fu": 0.0, "e_above_lowest_polymorph_ev_per_atom": 0.033, "e_tot_ev_per_atom": -31.99}

---

{"formula": "YMoP", "functional": "meta-GGA SCAN", "state": "PBEsol geometry", "cell": [[4.112, 0.000, 0.000], [-2.056, 3.561, 0.000], [0.000, 0.000, 3.872]], "species": ["Y", "Mo", "P"], "fractional_positions": [[0.000, 0.000, 0.000], [0.333, 0.667, 0.500], [0.667, 0.333, 0.500]], "ef_ev_per_atom": -0.535, "magnetic_moment_mub_per_fu": 0.0, "e_tot_ev_per_atom": -24.91}

---

{"formula": "NaH4ClO2", "functional": "meta-GGA SCAN", "state": "PBEsol geometry", "cell": [[6.300, 0.000, 0.000], [0.000, 10.054, 0.000], [-2.980, 0.000, 5.801]], "species": ["Na", "Na", "Na", "Na", "H", "H", "H", "H", "H", "H", "H", "H", "H", "H", "H", "H", "H", "H", "H", "H", "Cl", "Cl", "Cl", "Cl", "O", "O", "O", "O", "O", "O", "O", "O"], "fractional_positions": [[0.008, 0.168, 0.444], [0.008, 0.332, 0.944], [0.992, 0.668, 0.056], [0.992, 0.832, 0.556], [0.228, 0.586, 0.786], [0.228, 0.914, 0.286], [0.260, 0.047, 0.889], [0.260, 0.453, 0.389], [0.389, 0.687, 0.970], [0.389, 0.813, 0.470], [0.400, 0.515, 0.260], [0.400, 0.985, 0.760], [0.600, 0.015, 0.240], [0.600, 0.485, 0.740], [0.611, 0.187, 0.530], [0.611, 0.313, 0.030], [0.740, 0.547, 0.611], [0.740, 0.953, 0.111], [0.772, 0.086, 0.714], [0.772, 0.414, 0.214], [0.283, 0.114, 0.207], [0.283, 0.386, 0.707], [0.717, 0.614, 0.293], [0.717, 0.886, 0.793], [0.225, 0.677, 0.844], [0.225, 0.823, 0.344], [0.241, 0.017, 0.736], [0.241, 0.483, 0.236], [0.759, 0.517, 0.764], [0.759, 0.983, 0.264], [0.775, 0.177, 0.656], [0.775, 0.323, 0.156]], "magnetic_moment_mub_per_fu": 0.1, "e_tot_ev_per_atom": -6.10}

---

{"formula": "DyClO", "functional": "meta-GGA SCAN", "state": "PBEsol geometry", "cell": [[1.882, 1.086, 9.598], [-1.882, 1.086, 9.598], [0.000, -2.173, 9.598]], "species": ["Dy", "Dy", "Cl", "Cl", "O", "O"], "fractional_positions": [[0.216, 0.216, 0.216], [0.784, 0.784, 0.784], [0.391, 0.391, 0.391], [0.609, 0.609, 0.609], [0.138, 0.138, 0.138], [0.862, 0.862, 0.862]], "magnetic_moment_mub_per_fu": 0.0, "e_tot_ev_per_atom": -24.10}

---

{"formula": "Zr2SbTe", "functional": "meta-GGA SCAN", "state": "PBEsol geometry", "cell": [[4.983, 0.000, 0.000], [0.000, 4.983, 0.000], [0.000, 0.000, 3.507]], "species": ["Zr", "Zr", "Sb", "Te"], "fractional_positions": [[0.000, 0.500, 0.000], [0.500, 0.000, 0.000], [0.000, 0.000, 0.500], [0.500, 0.500, 0.500]], "magnetic_moment_mub_per_fu": 0.0, "e_above_lowest_polymorph_ev_per_atom": 0.095, "e_tot_ev_per_atom": -34.71}

---

{"formula": "CaMn2Fe", "functional": "meta-GGA SCAN", "state": "PBEsol geometry", "cell": [[1.422, 0.821, 8.648], [-1.422, 0.821, 8.648], [0.000, -1.642, 8.648]], "species": ["Ca", "Mn", "Mn", "Fe"], "fractional_positions": [[0.000, 0.000, 0.000], [0.235, 0.235, 0.235], [0.765, 0.765, 0.765], [0.500, 0.500, 0.500]], "ef_ev_per_atom": 0.623, "magnetic_moment_mub_per_fu": 9.1, "e_above_lowest_polymorph_ev_per_atom": 0.353, "e_tot_ev_per_atom": -15.45}

---

{"formula": "PrHfO4", "functional": "meta-GGA SCAN", "state": "PBEsol geometry", "cell": [[7.599, 0.000, 0.000], [0.000, 7.599, 0.000], [0.000, 0.000, 10.615]], "species": ["Pr", "Pr", "Pr", "Pr", "Pr", "Pr", "Pr", "Pr", "Hf", "Hf", "Hf", "Hf", "Hf", "Hf", "Hf", "Hf", "O", "O", "O", "O", "O", "O", "O", "O", "O", "O", "O", "O", "O", "O", "O", "O", "O", "O", "O", "O", "O", "O", "O", "O", "O", "O", "O", "O", "O", "O", "O", "O"], "fractional_positions": [[0.003, 0.251, 0.127], [0.249, 0.503, 0.877], [0.251, 0.003, 0.873], [0.497, 0.751, 0.623], [0.503, 0.249, 0.123], [0.749, 0.997, 0.373], [0.751, 0.497, 0.377], [0.997, 0.749, 0.627], [0.001, 0.261, 0.626], [0.239, 0.501, 0.376], [0.261, 0.001, 0.374], [0.499, 0.761, 0.124], [0.501, 0.239, 0.624], [0.739, 0.999, 0.874], [0.761, 0.499, 0.876], [0.999, 0.739, 0.126], [0.018, 0.527, 0.250], [0.027, 0.027, 0.500], [0.027, 0.482, 0.500], [0.049, 0.951, 0.250], [0.221, 0.221, 0.500], [0.245, 0.254, 0.283], [0.246, 0.745, 0.033], [0.248, 0.752, 0.750], [0.252, 0.252, 0.000], [0.254, 0.245, 0.717], [0.255, 0.754, 0.467], [0.279, 0.721, 0.250], [0.451, 0.451, 0.500], [0.473, 0.527, 0.250], [0.473, 0.982, 0.250], [0.482, 0.027, 0.500], [0.518, 0.973, 0.000], [0.527, 0.018, 0.750], [0.527, 0.473, 0.750], [0.549, 0.549, 0.000], [0.721, 0.279, 0.750], [0.745, 0.246, 0.967], [0.746, 0.755, 0.217], [0.748, 0.748, 0.500], [0.752, 0.248, 0.250], [0.754, 0.255, 0.533], [0.755, 0.746, 0.783], [0.779, 0.779, 0.000], [0.951, 0.049, 0.750], [0.973, 0.518, 0.000], [0.973, 0.973, 0.000], [0.982, 0.473, 0.750]], "magnetic_moment_mub_per_fu": 1.0, "e_tot_ev_per_atom": -25.16}

---

{"formula": "Mg3ScN", "functional": "meta-GGA SCAN", "state": "PBEsol geometry", "cell": [[4.426, 0.000, 0.000], [0.000, 4.426, 0.000], [0.000, 0.000, 4.426]], "species": ["Mg", "Mg", "Mg", "Sc", "N"], "fractional_positions": [[0.000, 0.000, 0.500], [0.000, 0.500, 0.000], [0.500, 0.000, 0.000], [0.500, 0.500, 0.500], [0.000, 0.000, 0.000]], "magnetic_moment_mub_per_fu": 0.0, "e_tot_ev_per_atom": -7.79}

---

{"formula": "CoIr2W", "functional": "meta-GGA SCAN", "state": "PBEsol geometry", "cell": [[0.000, 3.025, 3.025], [3.025, 0.000, 3.025], [3.025, 3.025, 0.000]], "species": ["Co", "Ir", "Ir", "W"], "fractional_positions": [[0.000, 0.000, 0.000], [0.250, 0.250, 0.250], [0.750, 0.750, 0.750], [0.500, 0.500, 0.500]], "ef_ev_per_atom": 0.073, "magnetic_moment_mub_per_fu": 1.3, "e_above_lowest_polymorph_ev_per_atom": 0.365, "e_tot_ev_per_atom": -57.22}

---

{"formula": "Ni2Pt", "functional": "meta-GGA SCAN", "state": "PBEsol geometry", "cell": [[4.039, 0.000, 0.000], [-2.020, 3.498, 0.000], [0.000, 0.000, 2.579]], "species": ["Ni", "Ni", "Pt"], "fractional_positions": [[0.333, 0.667, 0.000], [0.667, 0.333, 0.000], [0.000, 0.000, 0.500]], "ef_ev_per_atom": 0.002, "magnetic_moment_mub_per_fu": 2.1, "e_tot_ev_per_atom": -34.18}

---

{"formula": "FeNi2Br", "functional": "meta-GGA SCAN", "state": "PBEsol geometry", "cell": [[3.061, 0.000, 0.000], [0.000, 3.061, 0.000], [0.000, 0.000, 5.770]], "species": ["Fe", "Ni", "Ni", "Br"], "fractional_positions": [[0.000, 0.000, 0.000], [0.000, 0.000, 0.410], [0.500, 0.500, 0.194], [0.500, 0.500, 0.687]], "magnetic_moment_mub_per_fu": 4.6, "e_above_lowest_polymorph_ev_per_atom": 0.180, "e_tot_ev_per_atom": -17.08}

---

{"formula": "ZrScSi2", "functional": "meta-GGA SCAN", "state": "PBEsol geometry", "cell": [[2.221, -2.305, 0.000], [2.221, 2.305, 0.000], [0.000, 0.000, 6.996]], "species": ["Zr", "Sc", "Si", "Si"], "fractional_positions": [[0.000, 0.000, 0.000], [0.500, 0.500, 0.649], [0.000, 0.000, 0.402], [0.500, 0.500, 0.241]], "magnetic_moment_mub_per_fu": 0.0, "e_above_lowest_polymorph_ev_per_atom": 0.656, "e_tot_ev_per_atom": -16.49}

---

{"formula": "Mg2ScAg", "functional": "meta-GGA SCAN", "state": "PBEsol geometry", "cell": [[-2.406, 2.406, 3.386], [2.406, -2.406, 3.386], [2.406, 2.406, -3.386]], "species": ["Mg", "Mg", "Sc", "Ag"], "fractional_positions": [[0.000, 0.000, 0.000], [0.750, 0.250, 0.500], [0.500, 0.500, 0.000], [0.250, 0.750, 0.500]], "ef_ev_per_atom": -0.205, "magnetic_moment_mub_per_fu": 0.0, "e_tot_ev_per_atom": -14.09}